# KIn2SnRh, optimized geometry, DFT PBE-GGA
# DFT total energy = -3.760 eV per atom
# DOS(E_F) = 3.5 states/eV/f.u.
# Formation energy from the elements = -0.174 eV/atom
data_KIn2SnRh
_cell_length_a 5.229
_cell_length_b 5.229
_cell_length_c 5.227
_cell_angle_alpha 90.00
_cell_angle_beta 90.00
_cell_angle_gamma 90.00
_symmetry_space_group_name_H-M 'P 4/m m m'
_symmetry_Int_Tables_number 123
_symmetry_space_group_name_Hall '-P 4 2'
loop_
_atom_site_label
_atom_site_type_symbol
_atom_site_fract_x
_atom_site_fract_y
_atom_site_fract_z
K1 K 0.000 0.000 0.000
In1 In 0.000 0.500 0.500
Sn1 Sn 0.500 0.500 0.000
Rh1 Rh 0.500 0.500 0.500


# KInSn2Rh, optimized geometry, DFT PBE-GGA
# DFT total energy = -3.950 eV per atom
# DOS(E_F) = 4.4 states/eV/f.u.
# ΔE to the lowest computed polymorph = 0 meV/atom
# Formation energy from the elements = -0.111 eV/atom
data_KInSn2Rh
_cell_length_a 5.256
_cell_length_b 5.256
_cell_length_c 5.217
_cell_angle_alpha 90.00
_cell_angle_beta 90.00
_cell_angle_gamma 90.00
_symmetry_space_group_name_H-M 'P 4/m m m'
_symmetry_Int_Tables_number 123
_symmetry_space_group_name_Hall '-P 4 2'
loop_
_atom_site_label
_atom_site_type_symbol
_atom_site_fract_x
_atom_site_fract_y
_atom_site_fract_z
K1 K 0.000 0.000 0.000
In1 In 0.500 0.500 0.000
Sn1 Sn 0.000 0.500 0.500
Rh1 Rh 0.500 0.500 0.500


# KSr2InRh, optimized geometry, DFT PBE-GGA
# DFT total energy = -3.124 eV per atom
# DOS(E_F) = 2.9 states/eV/f.u.
# Formation energy from the elements = -0.214 eV/atom
data_KSr2InRh
_cell_length_a 5.881
_cell_length_b 5.881
_cell_length_c 5.382
_cell_angle_alpha 90.00
_cell_angle_beta 90.00
_cell_angle_gamma 90.00
_symmetry_space_group_name_H-M 'P 4/m m m'
_symmetry_Int_Tables_number 123
_symmetry_space_group_name_Hall '-P 4 2'
loop_
_atom_site_label
_atom_site_type_symbol
_atom_site_fract_x
_atom_site_fract_y
_atom_site_fract_z
K1 K 0.000 0.000 0.000
Sr1 Sr 0.000 0.500 0.500
In1 In 0.500 0.500 0.000
Rh1 Rh 0.500 0.500 0.500


# KInTcRh2, optimized geometry, DFT PBE-GGA
# DFT total energy = -4.434 eV per atom
# DOS(E_F) = 3.4 states/eV/f.u.
# Formation energy from the elements = 1.347 eV/atom
data_KInTcRh2
_cell_length_a 5.053
_cell_length_b 5.053
_cell_length_c 5.159
_cell_angle_alpha 90.00
_cell_angle_beta 90.00
_cell_angle_gamma 90.00
_symmetry_space_group_name_H-M 'P 4/m m m'
_symmetry_Int_Tables_number 123
_symmetry_space_group_name_Hall '-P 4 2'
loop_
_atom_site_label
_atom_site_type_symbol
_atom_site_fract_x
_atom_site_fract_y
_atom_site_fract_z
K1 K 0.000 0.000 0.000
In1 In 0.500 0.500 0.500
Tc1 Tc 0.500 0.500 0.000
Rh1 Rh 0.000 0.500 0.500